Record 1
Density functional theory data (GGA-PBEsol) for an optimized crystal structure of Sr2TiMoO6.

Geometry as CIF:
```
data_Sr2TiMoO6
_space_group_name_H-M_alt 'P 1'
_space_group_IT_number 1
_space_group_name_Hall 'P 1'
_cell_length_a 5.5500
_cell_length_b 5.5500
_cell_length_c 5.5500
_cell_angle_alpha 89.96
_cell_angle_beta 120.02
_cell_angle_gamma 120.02
loop_
_atom_site_label
_atom_site_fract_x
_atom_site_fract_y
_atom_site_fract_z
_atom_site_occupancy
Sr1 0.5000 0.7500 0.2500 1
Sr2 0.5000 0.2500 0.7500 1
Ti1 0.0000 0.5000 0.5000 1
Mo1 0.0000 0.0000 0.0000 1
O1 0.4997 0.2419 0.2578 1
O2 0.5003 0.7581 0.7422 1
O3 0.9840 0.7422 0.2419 1
O4 0.0160 0.2578 0.7581 1
O5 0.0000 0.2499 0.2499 1
O6 0.0000 0.7501 0.7501 1
```

Results
density	5.7	g/cm3
final energy	-8.37	eV per atom

Record 2
Density functional theory data (GGA-PBEsol) for an optimized crystal structure of SrUMo4O16.

Geometry as CIF:
```
data_SrUMo4O16
_space_group_name_H-M_alt 'P 1'
_space_group_IT_number 1
_space_group_name_Hall 'P 1'
_cell_length_a 6.7350
_cell_length_b 8.4302
_cell_length_c 11.4699
_cell_angle_alpha 90.52
_cell_angle_beta 90.00
_cell_angle_gamma 90.00
loop_
_atom_site_label
_atom_site_fract_x
_atom_site_fract_y
_atom_site_fract_z
_atom_site_occupancy
Sr1 0.3054 0.2500 0.7500 1
Sr2 0.6946 0.7500 0.2500 1
U1 0.3055 0.7500 0.7500 1
U2 0.6945 0.2500 0.2500 1
Mo1 0.8352 0.2028 0.9057 1
Mo2 0.1648 0.7972 0.0943 1
Mo3 0.8352 0.2972 0.5943 1
Mo4 0.1648 0.7028 0.4057 1
Mo5 0.8377 0.7983 0.5959 1
Mo6 0.1623 0.2017 0.4041 1
Mo7 0.8377 0.7017 0.9041 1
Mo8 0.1623 0.2983 0.0959 1
O1 0.8490 0.2523 0.0695 1
O2 0.1510 0.7477 0.9305 1
O3 0.8490 0.2477 0.4305 1
O4 0.1510 0.7523 0.5695 1
O5 0.9466 0.7500 0.7500 1
O6 0.0534 0.2500 0.2500 1
O7 0.9263 0.2500 0.7500 1
O8 0.0737 0.7500 0.2500 1
O9 0.8508 0.0004 0.5987 1
O10 0.1492 0.9996 0.4013 1
O11 0.8508 0.4996 0.9013 1
O12 0.1492 0.5004 0.0987 1
O13 0.8582 0.7513 0.4415 1
O14 0.1418 0.2487 0.5585 1
O15 0.8582 0.7487 0.0585 1
O16 0.1418 0.2513 0.9415 1
O17 0.5875 0.7602 0.6318 1
O18 0.4125 0.2398 0.3682 1
O19 0.5875 0.7398 0.8682 1
O20 0.4125 0.2602 0.1318 1
O21 0.5888 0.2425 0.8844 1
O22 0.4112 0.7575 0.1156 1
O23 0.5888 0.2575 0.6156 1
O24 0.4112 0.7425 0.3844 1
O25 0.3060 0.9651 0.7542 1
O26 0.6940 0.0349 0.2458 1
O27 0.3060 0.5349 0.7458 1
O28 0.6940 0.4651 0.2542 1
O29 0.8482 0.0002 0.9028 1
O30 0.1518 0.9998 0.0972 1
O31 0.8482 0.4998 0.5972 1
O32 0.1518 0.5002 0.4028 1
```

Results
density	4.9	g/cm3
final energy	-8.91	eV per atom